Compound: NiRhF5
Source: the Alexandria database
Functional: PBE+U
Structure: relaxed

Geometry as extended XYZ:
```
14
Lattice="-2.580 0.643 4.637 -4.593 -2.040 -1.820 5.462 -5.689 0.660" Properties=species:S:1:pos:R:3 pbc="T T T"
Ni -3.706 -2.058 3.268
Ni 1.995 -5.027 0.210
Rh 0.000 0.000 0.000
Rh -0.855 -3.543 1.739
F -5.389 -2.111 2.292
F -0.582 -2.839 3.602
F 1.059 -4.084 1.632
F -0.516 -1.888 0.587
F -3.766 -1.277 -0.154
F 2.055 -5.808 3.631
F -1.195 -5.197 2.890
F -2.770 -3.001 1.845
F -1.129 -4.247 -0.124
F 3.678 -4.974 1.185
```

The total energy is -30.84 eV per formula unit. The volume comes out at 99.3 Å³/f.u. As for the density of states at the Fermi level: 1.74 states/eV/f.u. The symmetry is C2/c, No. 15.